[1]
TaBeCl2 | PBE | relaxed

Geometry as POSCAR:
```
TaBeCl2
1.0
1.547 0.893 9.269
-1.547 0.893 9.269
0.000 -1.787 9.269
Ta Be Cl
1 1 2
Direct
0.000 0.000 0.000
0.745 0.745 0.745
0.269 0.269 0.269
0.457 0.457 0.457
```

Space group = R3m (160)

[2]
TaBeCl2 | PBE | relaxed

Geometry as POSCAR:
```
TaBeCl2
1.0
-2.693 2.693 4.755
2.693 -2.693 4.755
2.693 2.693 -4.755
Ta Be Cl
2 2 4
Direct
0.000 0.000 0.000
0.750 0.250 0.500
0.250 0.750 0.500
0.500 0.500 0.000
0.200 0.625 0.075
0.375 0.450 0.575
0.550 0.125 0.925
0.875 0.800 0.425
```

Space group = I-42d (122)

[3]
TaBeCl | PBE | relaxed

Geometry as POSCAR:
```
TaBeCl
1.0
3.001 0.000 0.000
1.500 4.710 0.000
0.503 1.300 8.682
Ta Be Cl
2 2 2
Direct
0.131 0.210 0.076
0.869 0.790 0.924
0.402 0.645 0.147
0.598 0.355 0.853
0.447 0.710 0.690
0.553 0.290 0.310
```

Space group = P-1 (2)

Result set for raw formation energy: -0.482; 0.586; -0.285 eV/atom, one per record in the order listed.
Result set for M_tot: 0.48; 0.98; 0.00 μB/f.u., one per record in the order listed.